(1)
CsScZn | PBE | relaxed

Electronic total energy: -5.64 eV for the cell shown
Spin magnetization: 1.2 μB/f.u.

Lattice parameters (Å, degrees): 5.363 5.363 5.363 60.00 60.00 60.00
Element x y z (fractional)
1 Cs 0.250 0.250 0.250
2 Zn 0.750 0.750 0.750
3 Sc 0.000 0.000 0.000

(2)
CsZrSc | PBE | relaxed

Energy above the lowest structure with this stoichiometry: 0 kJ/mol of formula units
Electronic total energy: -10.99 eV for the cell shown
Spin magnetization: 4.7 μB/f.u.

Lattice parameters (Å, degrees): 5.571 5.571 5.571 60.00 60.00 60.00
Element x y z (fractional)
1 Sc 0.000 0.000 0.000
2 Zr 0.750 0.750 0.750
3 Cs 0.250 0.250 0.250

(3)
CsZrSc | PBE | relaxed

Energy above the lowest structure with this stoichiometry: 53 kJ/mol of formula units
Electronic total energy: -10.44 eV for the cell shown
Spin magnetization: 0.0 μB/f.u.

Lattice parameters (Å, degrees): 5.084 5.084 5.084 60.00 60.00 60.00
Element x y z (fractional)
1 Zr 0.750 0.750 0.750
2 Cs 0.000 0.000 0.000
3 Sc 0.250 0.250 0.250

(4)
Cs4SiTcSe6 | PBE | relaxed

Electronic total energy: -50.78 eV for the cell shown
Spin magnetization: 1.0 μB/f.u.

Lattice parameters (Å, degrees): 7.461 8.074 9.647 71.73 67.74 63.13
Last column: magnetic moment on the atom in μB.
Element x y z (fractional)
1 Se 0.305 0.135 0.272  0.04
2 Se 0.699 0.857 0.730  0.00
3 Se 0.213 0.511 0.501  0.01
4 Cs 0.811 0.065 0.325  0.00
5 Tc 0.121 0.446 0.315  0.68
6 Cs 0.589 0.682 0.137  0.00
7 Se 0.784 0.495 0.499  0.01
8 Si 0.877 0.556 0.687  -0.01
9 Se 0.109 0.678 0.098  0.05
10 Cs 0.420 0.304 0.859  0.00
11 Se 0.890 0.329 0.895  0.00
12 Cs 0.182 0.944 0.681  0.00

(5)
CsSmSe3 | PBE | relaxed

Electronic total energy: -44.47 eV for the cell shown
Spin magnetization: 0.0 μB/f.u.

Lattice parameters (Å, degrees): 7.752 7.761 8.014 69.55 73.62 73.65
Element x y z (fractional)
1 Se 0.133 0.459 0.242
2 Se 0.024 0.143 0.361
3 Se 0.867 0.541 0.758
4 Cs 0.387 0.818 0.851
5 Sm 0.233 0.550 0.515
6 Cs 0.613 0.182 0.149
7 Sm 0.767 0.450 0.485
8 Se 0.476 0.278 0.717
9 Se 0.976 0.857 0.639
10 Se 0.524 0.722 0.283

(6)
CsSmSnSe3 | PBE | relaxed

Energy above the lowest structure with this stoichiometry: 64 kJ/mol of formula units
Electronic total energy: -54.46 eV for the cell shown
Spin magnetization: 0.0 μB/f.u.

Lattice parameters (Å, degrees): 8.826 8.826 12.172 90.00 90.00 152.28
Element x y z (fractional)
1 Cs 0.700 0.300 0.250
2 Se 0.384 0.616 0.012
3 Se 0.384 0.616 0.488
4 Sn 0.601 0.399 0.750
5 Se 0.616 0.384 0.512
6 Se 0.616 0.384 0.988
7 Cs 0.300 0.700 0.750
8 Sn 0.399 0.601 0.250
9 Se 0.006 0.994 0.250
10 Sm 0.000 0.000 0.500
11 Sm 0.000 0.000 0.000
12 Se 0.994 0.006 0.750

(7)
CsSmSnSe3 | PBE | relaxed

Energy above the lowest structure with this stoichiometry: 0 kJ/mol of formula units
Electronic total energy: -111.56 eV for the cell shown
Spin magnetization: 0.0 μB/f.u.

Lattice parameters (Å, degrees): 16.779 4.273 12.325 90.00 90.00 90.00
Element x y z (fractional)
1 Sn 0.463 0.750 0.910
2 Sn 0.037 0.250 0.410
3 Se 0.417 0.250 0.232
4 Se 0.904 0.750 0.955
5 Se 0.096 0.250 0.045
6 Se 0.917 0.250 0.268
7 Sn 0.537 0.250 0.090
8 Sm 0.504 0.750 0.354
9 Se 0.875 0.250 0.675
10 Cs 0.733 0.250 0.923
11 Se 0.625 0.750 0.175
12 Sn 0.963 0.750 0.590
13 Se 0.375 0.250 0.825
14 Se 0.596 0.250 0.455
15 Sm 0.996 0.250 0.854
16 Se 0.583 0.750 0.768
17 Sm 0.496 0.250 0.646
18 Cs 0.767 0.750 0.423
19 Sm 0.004 0.750 0.146
20 Se 0.083 0.750 0.732
21 Cs 0.233 0.250 0.577
22 Se 0.125 0.750 0.325
23 Se 0.404 0.750 0.545
24 Cs 0.267 0.750 0.077

(8)
CsSrSmSe3 | PBE | relaxed

Electronic total energy: -54.60 eV for the cell shown
Spin magnetization: 0.0 μB/f.u.

Lattice parameters (Å, degrees): 9.224 9.224 12.231 90.00 90.00 151.75
Element x y z (fractional)
1 Cs 0.684 0.316 0.250
2 Sr 0.421 0.579 0.250
3 Se 0.974 0.026 0.750
4 Se 0.391 0.609 0.484
5 Sr 0.579 0.421 0.750
6 Se 0.391 0.609 0.016
7 Sm 0.000 0.000 0.500
8 Cs 0.316 0.684 0.750
9 Se 0.026 0.974 0.250
10 Se 0.609 0.391 0.516
11 Se 0.609 0.391 0.984
12 Sm 0.000 0.000 0.000

(9)
CsSmZnTeSe2 | PBE | relaxed

Electronic total energy: -49.66 eV for the cell shown
Spin magnetization: 0.0 μB/f.u.

Lattice parameters (Å, degrees): 8.748 8.748 11.651 90.00 90.00 151.47
Element x y z (fractional)
1 Te 0.574 0.426 0.750
2 Zn 0.973 0.027 0.750
3 Zn 0.027 0.973 0.250
4 Se 0.107 0.893 0.073
5 Sm 0.500 0.500 0.500
6 Se 0.893 0.107 0.927
7 Se 0.893 0.107 0.573
8 Cs 0.734 0.266 0.250
9 Se 0.107 0.893 0.427
10 Te 0.426 0.574 0.250
11 Cs 0.266 0.734 0.750
12 Sm 0.500 0.500 0.000

(10)
CsSrTbSe3 | PBE | relaxed

Electronic total energy: -55.43 eV for the cell shown
Spin magnetization: 0.0 μB/f.u.

Lattice parameters (Å, degrees): 8.599 8.599 12.392 90.00 90.00 148.04
Element x y z (fractional)
1 Se 0.616 0.384 0.572
2 Se 0.384 0.616 0.428
3 Se 0.065 0.935 0.250
4 Se 0.384 0.616 0.072
5 Se 0.935 0.065 0.750
6 Sr 0.000 0.000 0.500
7 Sr 0.000 0.000 0.000
8 Tb 0.476 0.524 0.250
9 Cs 0.751 0.249 0.250
10 Cs 0.249 0.751 0.750
11 Se 0.616 0.384 0.928
12 Tb 0.524 0.476 0.750

(11)
CsTa4Se8 | PBE | relaxed

Electronic total energy: -87.60 eV for the cell shown
Spin magnetization: 0.0 μB/f.u.

Lattice parameters (Å, degrees): 10.205 10.205 10.205 40.12 40.12 40.12
Element x y z (fractional)
1 Ta 0.500 0.000 0.500
2 Ta 0.500 0.500 0.000
3 Cs 0.500 0.500 0.500
4 Ta 0.000 0.500 0.500
5 Se 0.728 0.225 0.225
6 Se 0.274 0.274 0.274
7 Se 0.272 0.775 0.775
8 Se 0.726 0.726 0.726
9 Se 0.775 0.775 0.272
10 Se 0.225 0.225 0.728
11 Se 0.225 0.728 0.225
12 Se 0.775 0.272 0.775
13 Ta 0.000 0.000 0.000

(12)
Cs3TaSe4 | PBE | relaxed

Electronic total energy: -152.01 eV for the cell shown
Spin magnetization: 0.0 μB/f.u.

Lattice parameters (Å, degrees): 10.385 12.095 10.400 90.00 90.00 90.00
Element x y z (fractional)
1 Se 0.167 0.585 0.951
2 Se 0.833 0.415 0.049
3 Cs 0.548 0.543 0.208
4 Cs 0.356 0.750 0.588
5 Ta 0.779 0.750 0.482
6 Cs 0.452 0.043 0.792
7 Se 0.495 0.750 0.929
8 Se 0.167 0.915 0.951
9 Cs 0.644 0.250 0.412
10 Se 0.995 0.750 0.571
11 Se 0.505 0.250 0.071
12 Se 0.333 0.085 0.451
13 Se 0.793 0.750 0.250
14 Cs 0.452 0.457 0.792
15 Ta 0.221 0.250 0.518
16 Se 0.833 0.085 0.049
17 Cs 0.548 0.957 0.208
18 Ta 0.721 0.250 0.982
19 Cs 0.048 0.543 0.292
20 Se 0.207 0.250 0.750
21 Cs 0.952 0.043 0.708
22 Cs 0.856 0.750 0.912
23 Se 0.667 0.915 0.549
24 Cs 0.952 0.457 0.708
25 Se 0.667 0.585 0.549
26 Se 0.293 0.750 0.250
27 Cs 0.048 0.957 0.292
28 Se 0.707 0.250 0.750
29 Ta 0.279 0.750 0.018
30 Se 0.333 0.415 0.451
31 Se 0.005 0.250 0.429
32 Cs 0.144 0.250 0.088

(13)
CsTbZnTe2Se | PBE | relaxed

Electronic total energy: -47.51 eV for the cell shown
Spin magnetization: 0.0 μB/f.u.

Lattice parameters (Å, degrees): 8.714 8.714 11.325 90.00 90.00 151.00
Element x y z (fractional)
1 Cs 0.768 0.232 0.250
2 Zn 0.039 0.961 0.250
3 Te 0.875 0.125 0.554
4 Se 0.547 0.453 0.750
5 Zn 0.961 0.039 0.750
6 Tb 0.500 0.500 0.000
7 Te 0.875 0.125 0.946
8 Se 0.453 0.547 0.250
9 Tb 0.500 0.500 0.500
10 Te 0.125 0.875 0.054
11 Te 0.125 0.875 0.446
12 Cs 0.232 0.768 0.750

(14)
Cs2TbTmSe4 | PBE | relaxed

Electronic total energy: -38.52 eV for the cell shown
Spin magnetization: 0.0 μB/f.u.

Lattice parameters (Å, degrees): 4.237 4.237 16.705 90.00 90.00 120.00
Element x y z (fractional)
1 Se 0.333 0.667 0.594
2 Tb 0.000 0.000 0.500
3 Se 0.667 0.333 0.406
4 Se 0.333 0.667 0.909
5 Se 0.667 0.333 0.091
6 Cs 0.333 0.667 0.249
7 Cs 0.667 0.333 0.751
8 Tm 0.000 0.000 0.000

(15)
CsTbTmSe3 | PBE | relaxed

Energy above the lowest structure with this stoichiometry: 0 kJ/mol of formula units
Electronic total energy: -59.68 eV for the cell shown
Spin magnetization: 0.1 μB/f.u.

Lattice parameters (Å, degrees): 8.500 8.500 11.217 90.00 90.00 149.32
Element x y z (fractional)
1 Se 0.883 0.117 0.546
2 Se 0.883 0.117 0.954
3 Tb 0.500 0.500 0.000
4 Tm 0.033 0.967 0.250
5 Tb 0.500 0.500 0.500
6 Cs 0.238 0.762 0.750
7 Cs 0.762 0.238 0.250
8 Tm 0.967 0.033 0.750
9 Se 0.117 0.883 0.046
10 Se 0.443 0.557 0.250
11 Se 0.557 0.443 0.750
12 Se 0.117 0.883 0.454

(16)
CsTbTmSe3 | PBE | relaxed

Energy above the lowest structure with this stoichiometry: 24 kJ/mol of formula units
Electronic total energy: -59.19 eV for the cell shown
Spin magnetization: 0.2 μB/f.u.

Lattice parameters (Å, degrees): 8.530 8.530 11.087 90.00 90.00 149.32
Last column: magnetic moment on the atom in μB.
Element x y z (fractional)
1 Se 0.061 0.939 0.750  0.00
2 Se 0.386 0.614 0.537  0.00
3 Cs 0.260 0.740 0.250  0.00
4 Se 0.614 0.386 0.037  0.00
5 Cs 0.740 0.260 0.750  0.00
6 Tb 0.532 0.468 0.250  0.05
7 Se 0.939 0.061 0.250  0.00
8 Tm 0.000 0.000 0.500  0.05
9 Tm 0.000 0.000 0.000  0.05
10 Se 0.386 0.614 0.963  0.00
11 Tb 0.468 0.532 0.750  0.05
12 Se 0.614 0.386 0.463  0.00

(17)
CsTbYSe3 | PBE | relaxed

Energy above the lowest structure with this stoichiometry: 3 kJ/mol of formula units
Electronic total energy: -63.62 eV for the cell shown
Spin magnetization: 0.0 μB/f.u.

Lattice parameters (Å, degrees): 4.558 8.502 11.217 90.00 90.00 105.55
Element x y z (fractional)
1 Y 0.000 0.000 0.500
2 Cs 0.739 0.477 0.750
3 Se 0.384 0.768 0.540
4 Se 0.941 0.881 0.250
5 Tb 0.532 0.065 0.250
6 Se 0.616 0.232 0.460
7 Se 0.384 0.768 0.960
8 Se 0.616 0.232 0.040
9 Se 0.059 0.119 0.750
10 Tb 0.468 0.935 0.750
11 Y 0.000 0.000 0.000
12 Cs 0.261 0.523 0.250

(18)
CsTbYSe3 | PBE | relaxed

Energy above the lowest structure with this stoichiometry: 0 kJ/mol of formula units
Electronic total energy: -63.69 eV for the cell shown
Spin magnetization: 0.1 μB/f.u.

Lattice parameters (Å, degrees): 8.488 8.488 11.244 90.00 90.00 149.03
Element x y z (fractional)
1 Se 0.558 0.442 0.750
2 Se 0.883 0.117 0.959
3 Cs 0.763 0.237 0.250
4 Se 0.117 0.883 0.459
5 Se 0.883 0.117 0.541
6 Tb 0.500 0.500 0.000
7 Y 0.965 0.035 0.750
8 Cs 0.237 0.763 0.750
9 Y 0.035 0.965 0.250
10 Se 0.117 0.883 0.041
11 Se 0.442 0.558 0.250
12 Tb 0.500 0.500 0.500

(19)
CsTbZnSe3 | PBE | relaxed

Electronic total energy: -51.55 eV for the cell shown
Spin magnetization: 0.0 μB/f.u.

Lattice parameters (Å, degrees): 8.416 8.416 11.023 90.00 90.00 28.76
Element x y z (fractional)
1 Se 0.384 0.384 0.060
2 Zn 0.464 0.464 0.250
3 Cs 0.255 0.255 0.750
4 Tb 0.000 0.000 0.000
5 Se 0.616 0.616 0.940
6 Zn 0.536 0.536 0.750
7 Cs 0.745 0.745 0.250
8 Se 0.616 0.616 0.560
9 Se 0.384 0.384 0.440
10 Tb 0.000 0.000 0.500
11 Se 0.057 0.057 0.250
12 Se 0.943 0.943 0.750